MnP2PbO8: optimized geometry, GGA+U.

```
MnP2PbO8
1.0
4.7937 0.0000 0.0000
2.3968 4.1514 0.0000
2.3968 1.3838 7.7198
Mn P Pb O
1 2 1 8
direct
0.5000 0.5000 0.5000
0.7579 0.7579 0.7262
0.2421 0.2421 0.2738
0.0000 0.0000 0.0000
0.6911 0.6911 0.9266
0.3089 0.3089 0.0734
0.5069 0.2641 0.3340
0.7359 0.4931 0.6660
0.1050 0.7359 0.6660
0.2641 0.8950 0.3340
0.8950 0.5069 0.3340
0.4931 0.1050 0.6660
```

Properties
- calculated volume (Å³/f.u.) = 154
- space-group type = No. 155
- magnetization (μB per formula unit) = 2.913
- calculated total energy (eV/atom) = -6.90
- density (g/cm3) = 4.89